# 1
Sr6P2SeBr3: optimized geometry, GGA-PBE.

The value obtained for the total energy is -4.093 eV per atom. As for the uncorrected formation energy: -19.70 eV per formula unit.

a = 7.7497 Å, b = 7.7497 Å, c = 7.8332 Å
α = 99.50°, β = 99.50°, γ = 119.99°
Atoms (fractional coordinates):
Sr  0.9284  0.5835  0.7853
Sr  0.7265  0.7265  0.2137
Sr  0.5835  0.9284  0.7853
P  0.3331  0.6669  0.0000
Se  0.0000  0.0000  0.0000
Sr  0.4165  0.0716  0.2147
P  0.6669  0.3331  0.0000
Sr  0.2735  0.2735  0.7863
Sr  0.0716  0.4165  0.2147
Br  0.1634  0.8366  0.5000
Br  0.8366  0.1634  0.5000
Br  0.5000  0.5000  0.5000

---

# 2
NpPaP2: optimized geometry, GGA-PBE.

The value obtained for the total energy is -9.105 eV per atom. Its formation energy is -0.791 eV/atom. As for the energy relative to the lowest polymorph listed for this composition: 313 meV/atom.

a = 4.8200 Å, b = 4.8200 Å, c = 4.8200 Å
α = 60.00°, β = 60.00°, γ = 60.00°
Last column: magnetic moment on the atom in μB.
Atoms (fractional coordinates):
Pa  0.5000  0.5000  0.5000  0.99
P  0.2500  0.2500  0.2500  -0.09
P  0.7500  0.7500  0.7500  -0.09
Np  0.0000  0.0000  0.0000  3.93

---

# 3
PrMgSi: optimized geometry, GGA-PBE.

The value obtained for the total energy is -4.364 eV per atom. As for the uncorrected formation energy: -1.29 eV per formula unit.

a = 3.8759 Å, b = 4.2815 Å, c = 9.3280 Å
α = 103.48°, β = 90.00°, γ = 90.00°
Atoms (fractional coordinates):
Mg  0.3470  0.2065  0.8316
Si  0.8468  0.9537  0.3316
Pr  0.8468  0.5870  0.5928
Pr  0.3468  0.4025  0.2307
Si  0.3468  0.0358  0.4919
Mg  0.8470  0.7839  0.9920

---

# 4
TaMn2InBr: optimized geometry, GGA-PBE.

The value obtained for the total energy is -5.370 eV per atom. As for the uncorrected formation energy: 7.75 eV per formula unit.

a = 5.0779 Å, b = 5.3075 Å, c = 5.0779 Å
α = 90.00°, β = 90.00°, γ = 90.00°
Last column: magnetic moment on the atom in μB.
Atoms (fractional coordinates):
Br  0.5000  0.5000  0.5000  0.12
In  0.0000  0.0000  0.0000  -0.04
Ta  0.0000  0.5000  0.0000  0.32
Mn  0.5000  0.0000  0.0000  4.06
Mn  0.0000  0.0000  0.5000  4.19

---

# 5
PrTmMg: optimized geometry, GGA-PBE.

The value obtained for the total energy is -3.575 eV per atom. Its formation energy is 0.040 eV/atom. As for the energy relative to the lowest polymorph listed for this composition: 84 meV/atom.

a = 5.5064 Å, b = 3.4524 Å, c = 10.9777 Å
α = 90.00°, β = 59.90°, γ = 90.00°
Atoms (fractional coordinates):
Pr  0.5525  0.1422  0.5884
Mg  0.5578  0.1418  0.0834
Pr  0.9013  0.1423  0.7400
Mg  0.8960  0.1416  0.2449
Tm  0.2429  0.6421  0.3979
Tm  0.2110  0.6422  0.9304

---

# 6
TbPm3In: optimized geometry, GGA-PBE.

The value obtained for the total energy is -4.515 eV per atom. Its formation energy is -0.191 eV/atom. As for the energy relative to the lowest polymorph listed for this composition: 0 meV/atom.

a = 4.8962 Å, b = 4.9027 Å, c = 13.0567 Å
α = 90.00°, β = 79.19°, γ = 90.00°
Atoms (fractional coordinates):
In  0.9775  0.2500  0.6933
Pm  0.0750  0.7500  0.4984
In  0.6708  0.7500  0.3067
Pm  0.5734  0.2500  0.5016
Tb  0.1730  0.2500  0.3022
Tb  0.4753  0.7500  0.6978
Pm  0.3780  0.2500  0.8923
Pm  0.8771  0.7500  0.8941
Pm  0.7712  0.2500  0.1059
Pm  0.2703  0.7500  0.1077

---

# 7
AlCuC3: optimized geometry, GGA-PBE.

The value obtained for the total energy is -4.681 eV per atom. Its formation energy is 2.421 eV/atom. As for the energy relative to the lowest polymorph listed for this composition: 0 meV/atom.

a = 3.8937 Å, b = 3.8937 Å, c = 3.8937 Å
α = 90.00°, β = 90.00°, γ = 90.00°
Atoms (fractional coordinates):
C  0.0000  0.5000  0.0000
C  0.0000  0.0000  0.5000
Al  0.0000  0.0000  0.0000
C  0.5000  0.0000  0.0000
Cu  0.5000  0.5000  0.5000

---

# 8
MgInPb2: optimized geometry, GGA-PBE.

The value obtained for the total energy is -2.901 eV per atom. Its formation energy is 0.037 eV/atom.

a = 3.2702 Å, b = 5.4899 Å, c = 12.8697 Å
α = 90.00°, β = 90.00°, γ = 90.00°
Atoms (fractional coordinates):
Pb  0.7500  0.7500  0.1916
Pb  0.7500  0.2500  0.3447
In  0.2500  0.7500  0.9469
Pb  0.2500  0.2500  0.8084
Pb  0.2500  0.7500  0.6553
Mg  0.2500  0.7500  0.4194
In  0.7500  0.2500  0.0531
Mg  0.7500  0.2500  0.5806

---

# 9
Ac2PS: optimized geometry, GGA-PBE.

The value obtained for the total energy is -6.127 eV per atom. As for the uncorrected formation energy: -6.75 eV per formula unit. As for the energy relative to the lowest polymorph listed for this composition: 114 meV/atom.

a = 4.2884 Å, b = 4.2884 Å, c = 7.9657 Å
α = 74.38°, β = 74.38°, γ = 60.00°
Atoms (fractional coordinates):
Ac  0.2558  0.2558  0.2327
P  0.6676  0.6676  0.9972
S  0.4987  0.4987  0.5040
Ac  0.0780  0.0780  0.7661

---

# 10
KSe2N: optimized geometry, GGA-PBE.

The value obtained for the total energy is -3.820 eV per atom. As for the uncorrected formation energy: 1.11 eV per formula unit.

a = 6.3534 Å, b = 6.3534 Å, c = 6.3534 Å
α = 52.45°, β = 52.45°, γ = 52.45°
Atoms (fractional coordinates):
N  0.0000  0.0000  0.0000
K  0.5000  0.5000  0.5000
Se  0.1064  0.1064  0.1064
Se  0.8936  0.8936  0.8936

---

# 11
Pr2CrAs4Pt3: optimized geometry, GGA-PBE.

The value obtained for the total energy is -6.391 eV per atom. Its formation energy is -0.800 eV/atom.

a = 4.4201 Å, b = 4.4201 Å, c = 10.1632 Å
α = 90.00°, β = 90.00°, γ = 90.00°
Last column: magnetic moment on the atom in μB.
Atoms (fractional coordinates):
Pt  0.0000  0.5000  0.1228  -0.03
Pr  0.0000  0.5000  0.7546  0.05
Pr  0.5000  0.0000  0.2454  0.05
Pt  0.0000  0.0000  0.5000  0.03
As  0.5000  0.0000  0.6308  -0.07
As  0.5000  0.5000  0.0000  -0.01
As  0.0000  0.5000  0.3692  -0.07
Pt  0.5000  0.0000  0.8772  -0.03
Cr  0.5000  0.5000  0.5000  3.22
As  0.0000  0.0000  0.0000  0.00

---

# 12
PrThBiAu: optimized geometry, GGA-PBE.

The value obtained for the total energy is -5.380 eV per atom. Its formation energy is -0.541 eV/atom.

a = 5.4512 Å, b = 5.4512 Å, c = 5.4512 Å
α = 60.00°, β = 60.00°, γ = 60.00°
Atoms (fractional coordinates):
Au  0.5000  0.5000  0.5000
Th  0.7500  0.7500  0.7500
Pr  0.2500  0.2500  0.2500
Bi  0.0000  0.0000  0.0000

---

# 13
FeMo2Se: optimized geometry, GGA-PBE.

The value obtained for the total energy is -8.199 eV per atom. As for the uncorrected formation energy: 0.81 eV per formula unit.

a = 5.1093 Å, b = 5.1093 Å, c = 5.1093 Å
α = 145.96°, β = 128.96°, γ = 62.77°
Last column: magnetic moment on the atom in μB.
Atoms (fractional coordinates):
Mo  0.0167  0.0167  0.0000  -0.24
Se  0.4852  0.4852  0.0000  -0.01
Fe  0.2718  0.7718  0.5000  1.24
Mo  0.7263  0.2263  0.5000  -0.06

---

# 14
SrHfN2O: optimized geometry, GGA-PBE.

The value obtained for the total energy is -5.723 eV per atom. As for the uncorrected formation energy: 4.63 eV per formula unit.

a = 4.1735 Å, b = 4.1735 Å, c = 4.3773 Å
α = 90.00°, β = 90.00°, γ = 90.00°
Atoms (fractional coordinates):
N  0.5000  0.0000  0.0000
Sr  0.0000  0.0000  0.0000
N  0.0000  0.5000  0.0000
O  0.0000  0.0000  0.5000
Hf  0.5000  0.5000  0.5000

---

# 15
Zr2CrAg: optimized geometry, GGA-PBE.

The value obtained for the total energy is -7.113 eV per atom. Its formation energy is 0.279 eV/atom. As for the energy relative to the lowest polymorph listed for this composition: 249 meV/atom.

a = 8.8738 Å, b = 8.8738 Å, c = 8.8738 Å
α = 20.90°, β = 20.90°, γ = 20.90°
Atoms (fractional coordinates):
Zr  0.0103  0.0103  0.0103
Ag  0.2500  0.2500  0.2500
Zr  0.4897  0.4897  0.4897
Cr  0.7500  0.7500  0.7500

---

# 16
Nd3Ga5Au6: optimized geometry, GGA-PBE.

The value obtained for the total energy is -4.146 eV per atom. Its formation energy is -0.639 eV/atom.

a = 4.4176 Å, b = 9.6835 Å, c = 13.5633 Å
α = 90.00°, β = 90.00°, γ = 90.00°
Atoms (fractional coordinates):
Au  0.5000  0.9829  0.0000
Au  0.5000  0.0029  0.3477
Au  0.5000  0.4040  0.1919
Ga  0.5000  0.4535  0.6126
Ga  0.5000  0.4535  0.3874
Nd  0.0000  0.2416  0.3220
Nd  0.0000  0.2416  0.6780
Ga  0.5000  0.2030  0.5000
Au  0.0000  0.9971  0.1523
Au  0.0000  0.0171  0.5000
Ga  0.0000  0.5465  0.8874
Nd  0.5000  0.7584  0.1780
Au  0.0000  0.5960  0.6919
Nd  0.5000  0.7584  0.8220
Au  0.0000  0.9971  0.8477
Nd  0.5000  0.7517  0.5000
Ga  0.0000  0.8620  0.6673
Ga  0.5000  0.1380  0.8327
Nd  0.0000  0.2483  0.0000
Ga  0.0000  0.5465  0.1126
Ga  0.0000  0.7970  0.0000
Au  0.5000  0.5151  0.0000
Au  0.5000  0.0029  0.6523
Au  0.0000  0.4849  0.5000
Ga  0.0000  0.8620  0.3327
Ga  0.5000  0.1380  0.1673
Au  0.5000  0.4040  0.8081
Au  0.0000  0.5960  0.3081

---

# 17
CaTe2CI: optimized geometry, GGA-PBE.

The value obtained for the total energy is -3.468 eV per atom. As for the uncorrected formation energy: 1.72 eV per formula unit. As for the energy relative to the lowest polymorph listed for this composition: 0 meV/atom.

a = 4.9054 Å, b = 4.9054 Å, c = 5.2806 Å
α = 90.00°, β = 90.00°, γ = 90.00°
Last column: magnetic moment on the atom in μB.
Atoms (fractional coordinates):
I  0.0000  0.0000  0.5000  0.00
C  0.0000  0.0000  0.0000  0.11
Te  0.5000  0.0000  0.0000  0.01
Ca  0.5000  0.5000  0.5000  0.00
Te  0.0000  0.5000  0.0000  0.01

---

# 18
Sc6Cd5Au: optimized geometry, GGA-PBE.

The value obtained for the total energy is -4.196 eV per atom. Its formation energy is -0.375 eV/atom.

a = 4.9744 Å, b = 6.9819 Å, c = 7.8877 Å
α = 90.00°, β = 71.62°, γ = 90.00°
Atoms (fractional coordinates):
Cd  0.3265  0.0000  0.3470
Sc  0.5000  0.7605  0.0000
Cd  0.6735  0.0000  0.6530
Sc  0.8383  0.7535  0.3234
Au  0.0000  0.0000  0.0000
Sc  0.5000  0.2395  0.0000
Sc  0.1617  0.7535  0.6766
Sc  0.1617  0.2465  0.6766
Cd  0.3308  0.5000  0.3383
Cd  0.6692  0.5000  0.6617
Sc  0.8383  0.2465  0.3234
Cd  0.0000  0.5000  0.0000

---

# 19
VMo3Se: optimized geometry, GGA-PBE.

The value obtained for the total energy is -7.805 eV per atom. As for the uncorrected formation energy: 6.07 eV per formula unit. As for the energy relative to the lowest polymorph listed for this composition: 0 meV/atom.

a = 4.5822 Å, b = 4.5822 Å, c = 4.5822 Å
α = 90.00°, β = 90.00°, γ = 90.00°
Last column: magnetic moment on the atom in μB.
Atoms (fractional coordinates):
Mo  0.0000  0.5000  0.0000  -0.14
Mo  0.5000  0.0000  0.0000  -0.14
V  0.5000  0.5000  0.5000  2.10
Mo  0.0000  0.0000  0.5000  -0.14
Se  0.0000  0.0000  0.0000  -0.01

---

# 20
ZrAlBr4: optimized geometry, GGA-PBE.

The value obtained for the total energy is -2.531 eV per atom. As for the uncorrected formation energy: 3.79 eV per formula unit.

a = 6.2098 Å, b = 6.2098 Å, c = 6.2098 Å
α = 60.00°, β = 60.00°, γ = 60.00°
Last column: magnetic moment on the atom in μB.
Atoms (fractional coordinates):
Zr  0.7500  0.7500  0.7500  1.36
Br  0.8725  0.3758  0.3758  -0.17
Al  0.0000  0.0000  0.0000  0.03
Br  0.3758  0.8725  0.3758  -0.17
Br  0.3758  0.3758  0.8725  -0.17
Br  0.3758  0.3758  0.3758  -0.17

---

# 21
RbAlIrO6: optimized geometry, GGA-PBE.

The value obtained for the total energy is -6.129 eV per atom. As for the uncorrected formation energy: -11.84 eV per formula unit.

a = 5.1174 Å, b = 5.1174 Å, c = 6.3747 Å
α = 90.00°, β = 90.00°, γ = 60.00°
Last column: magnetic moment on the atom in μB.
Atoms (fractional coordinates):
Ir  0.3333  0.3334  0.5000  0.34
O  0.0028  0.3947  0.3309  0.05
O  0.6025  0.0028  0.3309  0.05
Rb  0.0000  0.0000  0.0000  0.00
Al  0.6666  0.6667  0.5000  0.01
O  0.3947  0.0028  0.6691  0.05
O  0.6025  0.3947  0.6691  0.05
O  0.0027  0.6025  0.6691  0.05
O  0.3947  0.6025  0.3309  0.05

---

# 22
Ba2CaInSe5: optimized geometry, GGA-PBE.

The value obtained for the total energy is -4.331 eV per atom. As for the uncorrected formation energy: -12.97 eV per formula unit.

a = 4.3885 Å, b = 9.7788 Å, c = 13.3764 Å
α = 90.00°, β = 90.00°, γ = 102.97°
Atoms (fractional coordinates):
In  0.4448  0.8896  0.4413
Se  0.5054  0.0108  0.2699
Ca  0.7907  0.5814  0.5173
Ca  0.2093  0.4186  0.0173
Ba  0.8674  0.7348  0.8181
Ba  0.8827  0.7654  0.1860
Se  0.4946  0.9892  0.7699
Se  0.6393  0.2787  0.5060
In  0.5552  0.1104  0.9413
Se  0.3607  0.7213  0.0060
Se  0.7063  0.4126  0.1639
Ba  0.1326  0.2652  0.3181
Ba  0.1173  0.2346  0.6860
Se  0.0494  0.0987  0.0549
Se  0.3133  0.6267  0.3666
Se  0.6867  0.3733  0.8666
Se  0.9506  0.9013  0.5549
Se  0.2937  0.5874  0.6639

---

# 23
MgSc3Al: optimized geometry, GGA-PBE.

The value obtained for the total energy is -4.519 eV per atom. Its formation energy is 0.348 eV/atom. As for the energy relative to the lowest polymorph listed for this composition: 557 meV/atom.

a = 5.1981 Å, b = 5.1981 Å, c = 5.1981 Å
α = 90.00°, β = 90.00°, γ = 90.00°
Atoms (fractional coordinates):
Sc  0.5000  0.0000  0.0000
Al  0.0000  0.0000  0.0000
Sc  0.0000  0.5000  0.0000
Sc  0.0000  0.0000  0.5000
Mg  0.5000  0.5000  0.5000

---

# 24
Cd2GaBi: optimized geometry, GGA-PBE.

The value obtained for the total energy is -2.092 eV per atom. Its formation energy is 0.092 eV/atom. As for the energy relative to the lowest polymorph listed for this composition: 16 meV/atom.

a = 4.4553 Å, b = 4.4553 Å, c = 6.7234 Å
α = 70.65°, β = 70.65°, γ = 60.00°
Atoms (fractional coordinates):
Cd  0.0678  0.0678  0.7966
Bi  0.5031  0.5031  0.4907
Ga  0.6662  0.6662  0.0013
Cd  0.2628  0.2628  0.2115

---

The following total magnetization values (in μB per atom) correspond, in order, to the records above: 0.000; 1.322; 0.000; 1.909; 0.000; 0.000; 0.000; 0.000; 0.000; 0.000; 0.353; 0.000; 0.221; 0.000; 0.000; 0.000; 0.048; 0.000; 0.399; 0.257; 0.082; 0.000; 0.000; 0.000.